5
Lattice="6.405 0.000 0.000 0.000 6.405 0.000 0.000 0.000 4.043" Properties=species:S:1:pos:R:3 comment="Ba2YAsH | the Alexandria database | PBE | optimized geometry" total_energy_ev_per_atom=-3.45 pbc="T T T"
Ba 0.000 3.203 0.000
Ba 3.203 0.000 0.000
Y 0.000 0.000 0.000
As 3.203 3.203 2.021
H 0.000 0.000 2.021